Entry 1:
The following is a PBE calculation of an optimized crystal structure of Ca3AlCu2O6, from Alexandria via LeMat-Bulk.

Unit cell a=5.5563 b=5.5563 c=5.9011 alpha=90.00 beta=90.00 gamma=120.00
Space group P-3m1 (No. 164)
Unique sites:
1 Ca 0.0000 0.0000 0.0000
2 Ca 0.3333 0.6667 0.6157
3 Al 0.0000 0.0000 0.5000
4 Cu 0.3333 0.6667 0.1502
5 O 0.1596 0.3193 0.3077

Crystal system: trigonal
Theoretical density, kg/m³: 3897
ΔE_f (raw), eV/atom: -1.925



Entry 2:
The following is a PBE calculation of an optimized crystal structure of CaAlCuPd, from Alexandria via LeMat-Bulk.

Unit cell a=6.566 b=6.566 c=6.566 alpha=90.00 beta=90.00 gamma=90.00
Space group F-43m (No. 216)
Unique sites:
1 Ca 0.000 0.000 0.000
2 Al 0.000 0.000 0.500
3 Cu 0.250 0.250 0.250
4 Pd 0.250 0.250 0.750

Crystal system: cubic
Theoretical density, kg/m³: 5562
Energy of formation, eV per formula unit: -1.50



Entry 3:
The following is a PBE calculation of an optimized crystal structure of Ca2Al2Cu5Pd, from Alexandria via LeMat-Bulk.

Unit cell a=10.024 b=10.024 c=3.411 alpha=90.00 beta=90.00 gamma=90.00
Space group P4/mbm (No. 127)
Unique sites:
1 Ca 0.178 0.322 0.000
2 Al 0.121 0.621 0.000
3 Cu 0.000 0.500 0.500
4 Cu 0.053 0.805 0.500
5 Pd 0.000 0.000 0.000

Crystal system: tetragonal
Theoretical density, kg/m³: 5409
Energy of formation, eV per formula unit: -1.01